1.
The following is a PBE calculation of a relaxed structure of SmSbPd, from Alexandria.

Total magnetic moment   0.000 μB per atom
Formation energy without anion corrections   -23.38 kcal/mol of atoms
SG   P-62m, No. 189

Cell: 7.482 7.482 4.321 Å, 90.00 90.00 120.00°
Sites, in units of the cell vectors:
1 Sm 0.000 0.411 0.000
2 Sm 0.411 0.000 0.000
3 Sm 0.589 0.589 0.000
4 Sb 0.000 0.000 0.000
5 Sb 0.333 0.667 0.500
6 Sb 0.667 0.333 0.500
7 Pd 0.000 0.739 0.500
8 Pd 0.261 0.261 0.500
9 Pd 0.739 0.000 0.500


2.
The following is a PBE calculation of a relaxed structure of SmSbPd, from Alexandria.

Total magnetic moment   0.000 μB per atom
Formation energy without anion corrections   -15.17 kcal/mol of atoms
SG   I4mm, No. 107

Cell: 4.111 4.111 8.813 Å, 90.00 90.00 90.00°
Sites, in units of the cell vectors:
1 Sm 0.000 0.000 0.000
2 Sm 0.500 0.500 0.500
3 Sb 0.000 0.000 0.659
4 Sb 0.500 0.500 0.159
5 Pd 0.000 0.000 0.348
6 Pd 0.500 0.500 0.848


3.
The following is a PBE calculation of a relaxed structure of SmSbPd2, from Alexandria.

Total magnetic moment   0.000 μB per atom
Formation energy without anion corrections   -15.83 kcal/mol of atoms
SG   Pmmm, No. 47

Cell: 3.584 4.422 5.702 Å, 90.00 90.00 90.00°
Sites, in units of the cell vectors:
1 Sm 0.000 0.000 0.000
2 Sb 0.500 0.000 0.500
3 Pd 0.500 0.500 0.238
4 Pd 0.500 0.500 0.762


4.
The following is a PBE calculation of a relaxed structure of SmSb3Pd3, from Alexandria.

Total magnetic moment   0.000 μB per atom
Formation energy without anion corrections   -4.83 kcal/mol of atoms
SG   Pm-3n, No. 223

Cell: 7.250 7.250 7.250 Å, 90.00 90.00 90.00°
Sites, in units of the cell vectors:
1 Sm 0.000 0.000 0.000
2 Sm 0.500 0.500 0.500
3 Sb 0.000 0.250 0.500
4 Sb 0.000 0.750 0.500
5 Sb 0.250 0.500 0.000
6 Sb 0.500 0.000 0.250
7 Sb 0.500 0.000 0.750
8 Sb 0.750 0.500 0.000
9 Pd 0.000 0.500 0.250
10 Pd 0.000 0.500 0.750
11 Pd 0.250 0.000 0.500
12 Pd 0.500 0.250 0.000
13 Pd 0.500 0.750 0.000
14 Pd 0.750 0.000 0.500


5.
The following is a PBE calculation of a relaxed structure of SmSbPd, from Alexandria.

Total magnetic moment   0.000 μB per atom
Formation energy without anion corrections   -24.96 kcal/mol of atoms
SG   P6_3mc, No. 186

Cell: 4.643 4.643 7.579 Å, 90.00 90.00 120.00°
Sites, in units of the cell vectors:
1 Sm 0.000 0.000 0.000
2 Sm 0.000 0.000 0.500
3 Sb 0.333 0.667 0.272
4 Sb 0.667 0.333 0.772
5 Pd 0.333 0.667 0.676
6 Pd 0.667 0.333 0.176


6.
The following is a PBE calculation of a relaxed structure of SmSbPd, from Alexandria.

Total magnetic moment   0.000 μB per atom
Formation energy without anion corrections   -11.52 kcal/mol of atoms
SG   P-3m1, No. 164

Cell: 4.880 4.880 7.254 Å, 90.00 90.00 120.00°
Sites, in units of the cell vectors:
1 Sm 0.000 0.000 0.224
2 Sm 0.000 0.000 0.776
3 Sb 0.333 0.667 0.555
4 Sb 0.667 0.333 0.445
5 Pd 0.333 0.667 0.947
6 Pd 0.667 0.333 0.053


7.
The following is a PBE calculation of a relaxed structure of SmSbPd3, from Alexandria.

Total magnetic moment   0.000 μB per atom
Formation energy without anion corrections   -15.70 kcal/mol of atoms
SG   Imma, No. 74

Cell: 6.702 6.702 6.702 Å, 131.53 106.47 93.07°
Sites, in units of the cell vectors:
1 Sm 0.251 0.001 0.250
2 Sm 0.749 0.999 0.750
3 Sb 0.000 0.500 0.500
4 Sb 0.500 0.500 0.000
5 Pd 0.065 0.315 0.750
6 Pd 0.313 0.000 0.813
7 Pd 0.313 0.500 0.313
8 Pd 0.687 0.000 0.187
9 Pd 0.687 0.500 0.687
10 Pd 0.935 0.685 0.250


8.
The following is a PBE calculation of a relaxed structure of Sm2Sb3Pd9, from Alexandria.

Total magnetic moment   0.000 μB per atom
Formation energy without anion corrections   -16.34 kcal/mol of atoms
SG   C2/c, No. 15

Cell: 8.063 8.063 10.459 Å, 112.33 112.33 60.01°
Sites, in units of the cell vectors:
1 Sm 0.085 0.258 0.249
2 Sm 0.258 0.085 0.749
3 Sm 0.742 0.915 0.251
4 Sm 0.915 0.742 0.751
5 Sb 0.000 0.500 0.000
6 Sb 0.152 0.678 0.500
7 Sb 0.322 0.848 0.000
8 Sb 0.500 0.000 0.500
9 Sb 0.678 0.152 0.000
10 Sb 0.848 0.322 0.500
11 Pd 0.022 0.867 0.085
12 Pd 0.133 0.978 0.415
13 Pd 0.186 0.361 0.575
14 Pd 0.224 0.574 0.253
15 Pd 0.311 0.483 0.946
16 Pd 0.361 0.186 0.075
17 Pd 0.375 0.625 0.750
18 Pd 0.426 0.776 0.247
19 Pd 0.483 0.311 0.446
20 Pd 0.517 0.689 0.554
21 Pd 0.574 0.224 0.753
22 Pd 0.625 0.375 0.250
23 Pd 0.639 0.814 0.925
24 Pd 0.689 0.517 0.054
25 Pd 0.776 0.426 0.747
26 Pd 0.814 0.639 0.425
27 Pd 0.867 0.022 0.585
28 Pd 0.978 0.133 0.915


9.
The following is a PBE calculation of a relaxed structure of Sm2SbPd8, from Alexandria.

Total magnetic moment   0.000 μB per atom
Formation energy without anion corrections   -14.00 kcal/mol of atoms
SG   Immm, No. 71

Cell: 8.212 8.212 8.212 Å, 146.07 137.29 55.63°
Sites, in units of the cell vectors:
1 Sm 0.186 0.186 0.000
2 Sm 0.814 0.814 0.000
3 Sb 0.500 0.500 0.000
4 Pd 0.101 0.360 0.741
5 Pd 0.256 0.000 0.256
6 Pd 0.316 0.816 0.500
7 Pd 0.380 0.640 0.741
8 Pd 0.620 0.360 0.259
9 Pd 0.684 0.184 0.500
10 Pd 0.744 0.000 0.744
11 Pd 0.899 0.640 0.259


10.
The following is a PBE calculation of a relaxed structure of SmSbPd2, from Alexandria.

Total magnetic moment   0.000 μB per atom
Formation energy without anion corrections   -19.73 kcal/mol of atoms
SG   P2_1/m, No. 11

Cell: 5.206 4.802 6.693 Å, 90.00 96.16 90.00°
Sites, in units of the cell vectors:
1 Sm 0.185 0.250 0.235
2 Sm 0.815 0.750 0.765
3 Sb 0.247 0.250 0.729
4 Sb 0.753 0.750 0.271
5 Pd 0.320 0.750 0.492
6 Pd 0.348 0.750 0.958
7 Pd 0.652 0.250 0.042
8 Pd 0.680 0.250 0.508


11.
The following is a PBE calculation of a relaxed structure of Sm4Sb2Pd, from Alexandria.

Total magnetic moment   0.000 μB per atom
Formation energy without anion corrections   -16.55 kcal/mol of atoms
SG   C2/m, No. 12

Cell: 15.888 4.337 7.414 Å, 90.00 116.50 90.00°
Sites, in units of the cell vectors:
1 Sm 0.116 0.000 0.438
2 Sm 0.119 0.500 0.976
3 Sm 0.381 0.000 0.024
4 Sm 0.384 0.500 0.562
5 Sm 0.616 0.500 0.438
6 Sm 0.619 0.000 0.976
7 Sm 0.881 0.500 0.024
8 Sm 0.884 0.000 0.562
9 Sb 0.237 0.500 0.736
10 Sb 0.263 0.000 0.264
11 Sb 0.737 0.000 0.736
12 Sb 0.763 0.500 0.264
13 Pd 0.000 0.000 0.000
14 Pd 0.500 0.500 0.000


12.
The following is a PBE calculation of a relaxed structure of Sm2SbPd9, from Alexandria.

Total magnetic moment   0.000 μB per atom
Formation energy without anion corrections   -15.45 kcal/mol of atoms
SG   P4/mmm, No. 123

Cell: 4.147 4.147 12.312 Å, 90.00 90.00 90.00°
Sites, in units of the cell vectors:
1 Sm 0.000 0.000 0.168
2 Sm 0.000 0.000 0.832
3 Sb 0.000 0.000 0.500
4 Pd 0.000 0.500 0.000
5 Pd 0.000 0.500 0.344
6 Pd 0.000 0.500 0.656
7 Pd 0.500 0.000 0.000
8 Pd 0.500 0.000 0.344
9 Pd 0.500 0.000 0.656
10 Pd 0.500 0.500 0.175
11 Pd 0.500 0.500 0.500
12 Pd 0.500 0.500 0.825